#one
{
  "formula": "Ac5In2N2",
  "functional": "PBE",
  "state": "relaxed",
  "lattice_angstrom": [[5.251, 0.000, 0.000], [0.000, 5.251, 0.000], [0.000, 0.000, 10.466]],
  "species": ["Ac", "Ac", "Ac", "Ac", "Ac", "In", "In", "N", "N"],
  "frac_coords": [[0.500, 0.000, 0.219], [0.500, 0.000, 0.781], [0.500, 0.500, 0.500], [0.000, 0.500, 0.219], [0.000, 0.500, 0.781], [0.000, 0.000, 0.000], [0.000, 0.000, 0.500], [0.500, 0.500, 0.259], [0.500, 0.500, 0.741]]
}


#two
{
  "formula": "Ac5In2N2",
  "functional": "PBE",
  "state": "relaxed",
  "lattice_angstrom": [[7.218, 0.000, -2.365], [-0.762, 7.042, -2.326], [-0.127, -0.060, 11.808]],
  "species": ["Ac", "Ac", "Ac", "Ac", "Ac", "Ac", "Ac", "Ac", "Ac", "Ac", "In", "In", "In", "In", "N", "N", "N", "N"],
  "frac_coords": [[0.753, 0.752, 0.013], [0.247, 0.739, 0.987], [0.760, 0.252, 0.013], [0.240, 0.239, 0.987], [0.822, 0.832, 0.713], [0.178, 0.119, 0.287], [0.391, 0.332, 0.713], [0.609, 0.619, 0.287], [0.877, 0.124, 0.500], [0.123, 0.624, 0.500], [0.881, 0.391, 0.782], [0.119, 0.609, 0.218], [0.401, 0.891, 0.782], [0.599, 0.109, 0.218], [0.000, 0.986, 0.000], [0.500, 0.486, 0.000], [0.834, 0.784, 0.500], [0.166, 0.284, 0.500]]
}


#two comes first in stability; the runner-up is 34 meV/atom higher.


#one
{
  "formula": "Ac2InN",
  "functional": "PBE",
  "state": "relaxed",
  "lattice_angstrom": [[-0.136, -2.269, -3.178], [2.974, -2.399, -0.817], [-2.865, -7.870, 3.339]],
  "species": ["Ac", "Ac", "N", "In"],
  "frac_coords": [[0.775, 0.775, 0.674], [0.225, 0.225, 0.326], [0.500, 0.500, 0.500], [0.000, 0.000, 0.000]]
}


#two
{
  "formula": "Ac2InN",
  "functional": "PBE",
  "state": "relaxed",
  "lattice_angstrom": [[3.422, 0.000, 0.000], [0.000, 3.422, 0.000], [0.000, 0.000, 8.539]],
  "species": ["Ac", "Ac", "N", "In"],
  "frac_coords": [[0.000, 0.000, 0.813], [0.000, 0.000, 0.187], [0.500, 0.500, 0.000], [0.500, 0.500, 0.500]]
}


#one comes first in stability; the runner-up is 292 meV/atom higher.


#one
{
  "formula": "Ac2InN",
  "functional": "PBE",
  "state": "relaxed",
  "lattice_angstrom": [[-2.712, 0.683, 2.694], [-1.881, -4.983, -0.630], [7.970, -3.790, 6.184]],
  "species": ["Ac", "Ac", "Ac", "Ac", "In", "In", "N", "N"],
  "frac_coords": [[0.210, 0.250, 0.419], [0.790, 0.750, 0.581], [0.389, 0.250, 0.779], [0.611, 0.750, 0.221], [0.041, 0.250, 0.082], [0.959, 0.750, 0.918], [0.805, 0.250, 0.610], [0.195, 0.750, 0.390]]
}


#two
{
  "formula": "Ac2InN",
  "functional": "PBE",
  "state": "relaxed",
  "lattice_angstrom": [[-4.313, -4.410, -2.204], [2.400, -4.873, 5.070], [-9.584, 9.244, 7.981]],
  "species": ["Ac", "Ac", "Ac", "Ac", "Ac", "Ac", "Ac", "Ac", "Ac", "Ac", "Ac", "Ac", "In", "In", "In", "In", "In", "In", "N", "N", "N", "N", "N", "N"],
  "frac_coords": [[0.371, 0.944, 0.887], [0.629, 0.056, 0.113], [0.683, 0.467, 0.933], [0.317, 0.533, 0.067], [0.775, 0.782, 0.565], [0.225, 0.218, 0.435], [0.220, 0.713, 0.426], [0.780, 0.287, 0.574], [0.693, 0.928, 0.358], [0.307, 0.072, 0.642], [0.308, 0.570, 0.642], [0.692, 0.430, 0.358], [0.837, 0.086, 0.778], [0.163, 0.914, 0.222], [0.162, 0.309, 0.222], [0.838, 0.691, 0.778], [0.143, 0.407, 0.815], [0.857, 0.593, 0.185], [0.000, 0.000, 0.500], [0.500, 0.000, 0.500], [0.000, 0.500, 0.500], [0.500, 0.500, 0.500], [0.500, 0.235, 0.000], [0.500, 0.765, 0.000]]
}


#one comes first in stability; the runner-up is 91 meV/atom higher.